(1)
Density functional theory data (GGA-PBE) for a relaxed structure of MgZn4Ga.

Cell: 10.7722 10.7722 5.0120 Å, 90.00 90.00 157.43°
Element x y z (fractional)
Mg  0.1182  0.8818  0.7500
Mg  0.8818  0.1182  0.2500
Zn  0.0392  0.9608  0.2500
Zn  0.2833  0.7167  0.0058
Zn  0.2833  0.7167  0.4942
Zn  0.5000  0.5000  0.0000
Zn  0.5000  0.5000  0.5000
Zn  0.7167  0.2833  0.5058
Zn  0.7167  0.2833  0.9942
Zn  0.9608  0.0392  0.7500
Ga  0.3870  0.6130  0.7500
Ga  0.6130  0.3870  0.2500

- Calculated total energy: -18.5 eV for the cell shown
- Energy of formation from the pure elements: 75 meV per atom
- Total magnetic moment: 0.00 μB per formula unit
- Volume: 18.60 A^3/atom

(2)
Density functional theory data (GGA-PBE) for a relaxed structure of CoReBr2.

Cell: 4.5054 4.5054 4.5054 Å, 60.00 60.00 60.00°
Element x y z (fractional)
Co  0.0000  0.0000  0.0000
Re  0.5000  0.5000  0.5000
Br  0.2500  0.2500  0.2500
Br  0.7500  0.7500  0.7500

- Calculated total energy: -17.7 eV for the cell shown
- Total magnetic moment: 1.75 μB per formula unit
- Formation energy without anion corrections: 1.301 eV/atom
- Volume: 16.17 A^3/atom

(3)
Density functional theory data (GGA-PBE) for a relaxed structure of Li2SiRh.

Cell: 8.8506 8.8506 8.8506 Å, 17.54 17.54 17.54°
Element x y z (fractional)
Li  0.2490  0.2490  0.2490
Li  0.7510  0.7510  0.7510
Si  0.0000  0.0000  0.0000
Rh  0.5000  0.5000  0.5000

- Calculated total energy: -17.0 eV for the cell shown
- Total magnetic moment: 0.10 μB per formula unit
- Formation energy without anion corrections: -0.092 eV/atom
- Volume: 13.74 A^3/atom

(4)
Density functional theory data (GGA-PBE) for a relaxed structure of Er4AgAu.

Cell: 4.9518 4.9518 6.9905 Å, 90.00 90.00 90.00°
Element x y z (fractional)
Er  0.0000  0.5000  0.2454
Er  0.0000  0.5000  0.7546
Er  0.5000  0.0000  0.2454
Er  0.5000  0.0000  0.7546
Ag  0.0000  0.0000  0.5000
Au  0.5000  0.5000  0.0000

- Calculated total energy: -25.7 eV for the cell shown
- Energy of formation from the pure elements: -222 meV per atom
- Total magnetic moment: 0.00 μB per formula unit
- Volume: 28.57 A^3/atom

(5)
Density functional theory data (GGA-PBE) for a relaxed structure of BeCoSe2.

Cell: 4.3865 4.3865 3.3705 Å, 90.00 90.00 102.01°
Element x y z (fractional)
Be  0.0000  0.0000  0.0000
Co  0.5000  0.5000  0.0000
Se  0.2601  0.7399  0.5000
Se  0.7399  0.2601  0.5000

- Calculated total energy: -16.8 eV for the cell shown
- Total magnetic moment: 0.00 μB per formula unit
- Formation energy without anion corrections: 0.251 eV/atom
- Volume: 15.86 A^3/atom

(6)
Density functional theory data (GGA-PBE) for a relaxed structure of TbGdTm4.

Cell: 6.5225 6.5225 6.5225 Å, 60.00 60.00 60.00°
Element x y z (fractional)
Tb  0.0000  0.0000  0.0000
Gd  0.2500  0.2500  0.2500
Tm  0.1242  0.6252  0.6252
Tm  0.6252  0.1242  0.6252
Tm  0.6252  0.6252  0.1242
Tm  0.6252  0.6252  0.6252

- Calculated total energy: -35.1 eV for the cell shown
- Energy of formation from the pure elements: 251 meV per atom
- Total magnetic moment: 8.82 μB per formula unit
- Volume: 32.70 A^3/atom

(7)
Density functional theory data (GGA-PBE) for a relaxed structure of CaZrP2Rh5.

Cell: 4.0267 4.0267 10.4352 Å, 90.00 90.00 90.00°
Element x y z (fractional)
Ca  0.0000  0.0000  0.0000
Zr  0.0000  0.0000  0.5000
P  0.5000  0.5000  0.2160
P  0.5000  0.5000  0.7840
Rh  0.0000  0.5000  0.3197
Rh  0.0000  0.5000  0.6803
Rh  0.5000  0.0000  0.3197
Rh  0.5000  0.0000  0.6803
Rh  0.5000  0.5000  0.0000

- Calculated total energy: -64.3 eV for the cell shown
- Energy of formation from the pure elements: -685 meV per atom
- Total magnetic moment: 0.00 μB per formula unit
- Volume: 18.80 A^3/atom

(8)
Density functional theory data (GGA-PBE) for a relaxed structure of La2SmDySb4.

Cell: 7.8323 4.5326 7.8450 Å, 90.00 109.51 90.00°
Element x y z (fractional)
La  0.0000  0.0000  0.0000
La  0.0000  0.5000  0.5000
Sm  0.5000  0.0000  0.5000
Dy  0.5000  0.5000  0.0000
Sb  0.2597  0.5000  0.2507
Sb  0.2615  0.0000  0.7563
Sb  0.7385  0.0000  0.2437
Sb  0.7403  0.5000  0.7493

- Calculated total energy: -45.4 eV for the cell shown
- Total magnetic moment: 0.00 μB per formula unit
- Formation energy without anion corrections: -1.212 eV/atom
- Volume: 32.81 A^3/atom

(9)
Density functional theory data (GGA-PBE) for a relaxed structure of Ba4Mg5.

Cell: 8.4944 8.4944 8.4944 Å, 96.37 96.37 141.08°
Element x y z (fractional)
Ba  0.0000  0.3054  0.3054
Ba  0.0000  0.6946  0.6946
Ba  0.3054  0.0000  0.3054
Ba  0.6946  0.0000  0.6946
Mg  0.0000  0.0000  0.0000
Mg  0.3599  0.3599  0.7197
Mg  0.3599  0.6401  0.0000
Mg  0.6401  0.3599  0.0000
Mg  0.6401  0.6401  0.2803

- Calculated total energy: -15.2 eV for the cell shown
- Energy of formation from the pure elements: 49 meV per atom
- Total magnetic moment: 0.00 μB per formula unit
- Volume: 40.34 A^3/atom

(10)
Density functional theory data (GGA-PBE) for a relaxed structure of CeNbSe2.

Cell: 9.6790 9.6790 9.6790 Å, 20.44 20.44 20.44°
Element x y z (fractional)
Ce  0.0000  0.0000  0.0000
Nb  0.5000  0.5000  0.5000
Se  0.1056  0.1056  0.1056
Se  0.8944  0.8944  0.8944

- Calculated total energy: -25.5 eV for the cell shown
- Total magnetic moment: 1.73 μB per formula unit
- Formation energy without anion corrections: -0.625 eV/atom
- Volume: 24.20 A^3/atom

(11)
Density functional theory data (GGA-PBE) for a relaxed structure of CaCd4In2.

Cell: 6.1905 6.1905 5.8261 Å, 115.24 115.24 73.85°
Element x y z (fractional)
Ca  0.0000  0.0000  0.0000
Cd  0.0109  0.6216  0.3399
Cd  0.3784  0.9891  0.6601
Cd  0.6216  0.0109  0.3399
Cd  0.9891  0.3784  0.6601
In  0.4519  0.4519  0.1968
In  0.5481  0.5481  0.8032

- Calculated total energy: -12.0 eV for the cell shown
- Energy of formation from the pure elements: -123 meV per atom
- Total magnetic moment: 0.00 μB per formula unit
- Volume: 25.91 A^3/atom

(12)
Density functional theory data (GGA-PBE) for a relaxed structure of Li5Sn3Hg2.

Cell: 9.8373 9.8373 9.8373 Å, 121.15 69.49 146.41°
Element x y z (fractional)
Li  0.0716  0.7500  0.3216
Li  0.1753  0.0634  0.2386
Li  0.2500  0.2500  0.0000
Li  0.3247  0.5634  0.8881
Li  0.4284  0.7500  0.6784
Li  0.5716  0.2500  0.3216
Li  0.6753  0.4366  0.1119
Li  0.7500  0.7500  0.0000
Li  0.8247  0.9366  0.7614
Li  0.9284  0.2500  0.6784
Sn  0.2056  0.7799  0.9855
Sn  0.2500  0.7500  0.5000
Sn  0.2944  0.2799  0.5743
Sn  0.7056  0.7201  0.4257
Sn  0.7500  0.2500  0.5000
Sn  0.7944  0.2201  0.0145
Hg  0.0532  0.2301  0.2834
Hg  0.4468  0.7301  0.1769
Hg  0.5532  0.2699  0.8231
Hg  0.9468  0.7699  0.7166

- Calculated total energy: -47.8 eV for the cell shown
- Energy of formation from the pure elements: -172 meV per atom
- Total magnetic moment: 0.00 μB per formula unit
- Volume: 22.21 A^3/atom